Record 1
A plane-wave DFT calculation with PBE was carried out for an optimized crystal structure of Li3SbPd6.

The space group is P2_1/m (No. 11) and the conventional cell measures 7.422, 4.475 and 9.723 Å, with angles of 90.00, 110.45 and 90.00 degrees. The inequivalent atoms are Li at (0.028, 0.250, 0.412), Li at (0.163, 0.750, 0.173), Li at (0.252, 0.250, 0.015), Sb at (0.418, 0.250, 0.634), Pd at (0.044, 0.750, 0.891), Pd at (0.113, 0.250, 0.728), Pd at (0.270, 0.750, 0.471), Pd at (0.338, 0.250, 0.316), Pd at (0.341, 0.750, 0.781) and Pd at (0.450, 0.750, 0.076).

For the electronic total energy, the calculation gives -4.52 eV per atom. The value obtained for the energy above the most stable polymorph in this dataset is 0.0000 eV/atom. The uncorrected formation energy comes out at -413 meV per atom.

=====

Record 2
A plane-wave DFT calculation with PBE was carried out for an optimized crystal structure of LiSb2Pd8.

The space group is Immm (No. 71) and the conventional cell measures 4.214, 7.440 and 11.620 Å, with angles of 90.00, 90.00 and 90.00 degrees. The inequivalent atoms are Li at (0.000, 0.000, 0.000), Sb at (0.000, 0.000, 0.306), Pd at (0.000, 0.197, 0.500), Pd at (0.000, 0.275, 0.158) and Pd at (0.000, 0.500, 0.362).

For the electronic total energy, the calculation gives -5.09 eV per atom. The value obtained for the energy above the most stable polymorph in this dataset is 0.0000 eV/atom. The uncorrected formation energy comes out at -393 meV per atom.

=====

Record 3
A plane-wave DFT calculation with PBE was carried out for an optimized crystal structure of LiSb2Pd.

The space group is P4/mmm (No. 123) and the conventional cell measures 4.497, 4.497 and 3.999 Å, with angles of 90.00, 90.00 and 90.00 degrees. The inequivalent atoms are Li at (0.000, 0.000, 0.000), Sb at (0.000, 0.500, 0.500) and Pd at (0.500, 0.500, 0.000).

For the electronic total energy, the calculation gives -4.17 eV per atom. The value obtained for the energy above the most stable polymorph in this dataset is 0.0608 eV/atom. The uncorrected formation energy comes out at -332 meV per atom.

=====

Record 4
A plane-wave DFT calculation with PBE was carried out for an optimized crystal structure of LiSbPd5.

The space group is Cmcm (No. 63) and the conventional cell measures 7.218, 5.800 and 11.027 Å, with angles of 90.00, 90.00 and 90.00 degrees. The inequivalent atoms are Li at (0.000, 0.120, 0.250), Sb at (0.000, 0.500, 0.000), Pd at (0.000, 0.458, 0.750) and Pd at (0.205, 0.154, 0.616).

For the electronic total energy, the calculation gives -4.91 eV per atom. The value obtained for the energy above the most stable polymorph in this dataset is 0.0000 eV/atom. The uncorrected formation energy comes out at -342 meV per atom.

=====

Listing density of states at the Fermi level for the structures above in their given order: 0.4542; 0.3296; 0.3896; 0.3461 states/eV per atom.